1.
Here is CaCrPt2I after structural relaxation from the Alexandria database. Energies are from PBE.

Lattice parameters (Å, degrees): 5.1283 5.1283 4.8722 90.00 90.00 90.00
Closest atoms and distances in Å follow each position.
Space group P4/mmm (No. 123)
Unique sites:
Ca  0.0000  0.0000  0.0000 [1 per cell]  8 Pt 3.54, 4 Cr 3.63
Cr  0.5000  0.5000  0.0000 [1 per cell]  2 I 2.44
Pt  0.0000  0.5000  0.5000 [2 per cell]  2 I 2.56
I  0.5000  0.5000  0.5000 [1 per cell]  2 Cr 2.44, 4 Pt 2.56

Output
- Raw formation energy: 2.690 eV/f.u.
- Uncorrected energy: -4.513 eV/atom


2.
Here is CrSbAu2 after structural relaxation from the Alexandria database. Energies are from PBE.

Lattice parameters (Å, degrees): 9.8531 3.1985 4.9917 90.00 100.37 90.00
Closest atoms and distances in Å follow each position.
Space group C2/m (No. 12)
Unique sites:
Cr  0.0000  0.0000  0.0000 [2 per cell]  6 Au 2.90-3.02, 4 Sb 2.96, 2 Cr 3.20
Sb  0.0000  0.5000  0.5000 [2 per cell]  6 Au 2.90-3.13, 4 Cr 2.96, 2 Sb 3.20
Au  0.2374  0.5000  0.2320 [4 per cell]  6 Au 2.86-3.20, 3 Sb 2.90-3.13, 3 Cr 2.90-3.02

Output
- Raw formation energy: 0.558 eV/f.u.
- Uncorrected energy: -4.936 eV/atom


3.
Here is CaCd4Rh2 after structural relaxation from the Alexandria database. Energies are from PBE.

Lattice parameters (Å, degrees): 8.4159 8.4159 4.2589 90.00 90.00 90.00
Closest atoms and distances in Å follow each position.
Space group P4_2/mnm (No. 136)
Unique sites:
Ca  0.0000  0.0000  0.0000 [2 per cell]  6 Rh 3.22-3.53
Cd  0.0933  0.3390  0.5000 [8 per cell]  3 Rh 2.75-2.76, 5 Cd 2.92-3.07
Rh  0.2033  0.7967  0.5000 [4 per cell]  6 Cd 2.75-2.76

Output
- ΔH_f (0 K): -0.187 eV per atom
- Uncorrected energy: -3.096 eV/atom


4.
Here is CaZrSc2 after structural relaxation from the Alexandria database. Energies are from PBE.

Lattice parameters (Å, degrees): 10.7671 3.2894 6.1232 90.00 99.53 90.00
Closest atoms and distances in Å follow each position.
Space group C2/m (No. 12)
Unique sites:
Ca  0.0000  0.0000  0.0000 [2 per cell]  2 Ca 3.29, 6 Sc 3.35-3.44, 4 Zr 3.48
Zr  0.0000  0.5000  0.5000 [2 per cell]  6 Sc 3.18-3.28, 2 Zr 3.29, 4 Ca 3.48
Sc  0.2412  0.0000  0.7181 [4 per cell]  4 Sc 3.17-3.29, 3 Zr 3.18-3.28, 3 Ca 3.35-3.44

Output
- ΔH_f (0 K): 0.197 eV per atom
- Uncorrected energy: -5.606 eV/atom